1.
This record from Alexandria describes an optimized crystal structure of LiCdHgF6. The functional is PBE-GGA.

Lattice parameters (Å, degrees): 5.5260 5.5260 4.8175 90.00 90.00 120.00
Atoms (fractional coordinates):
Li 0.0000 0.0000 0.0000
Cd 0.6667 0.3333 0.0000
Hg 0.3333 0.6667 0.5000
F 0.0054 0.3213 0.2370
F 0.0054 0.6841 0.7630
F 0.3159 0.3213 0.7630
F 0.3159 0.9946 0.2370
F 0.6787 0.6841 0.2370
F 0.6787 0.9946 0.7630

Values from the calculation:
E_tot (eV per atom): -3.440
Symmetry: No. 149



2.
This record from Alexandria describes an optimized crystal structure of Li2CdHgF6. The functional is PBE-GGA.

Lattice parameters (Å, degrees): 5.4238 5.5211 5.5710 119.35 118.91 90.40
Atoms (fractional coordinates):
Li 0.0000 0.0000 0.0000
Li 0.4927 0.4929 0.9851
Cd 0.7759 0.2212 0.4929
Hg 0.2235 0.7256 0.4929
F 0.1544 0.6650 0.8493
F 0.1824 0.1763 0.8580
F 0.3800 0.2803 0.4927
F 0.6200 0.7965 0.4935
F 0.7998 0.3107 0.1367
F 0.8145 0.8125 0.1266

Values from the calculation:
E_tot (eV per atom): -3.862
Symmetry: No. 1



3.
This record from Alexandria describes an optimized crystal structure of LiCdHg2F6. The functional is PBE-GGA.

Lattice parameters (Å, degrees): 5.7562 5.9521 10.0511 90.00 123.12 90.00
Atoms (fractional coordinates):
Li 0.0000 0.0000 0.0000
Li 0.0000 0.5000 0.5000
Cd 0.5000 0.0000 0.5000
Cd 0.5000 0.5000 0.0000
Hg 0.2207 0.0620 0.7460
Hg 0.2207 0.4380 0.2460
Hg 0.7793 0.5620 0.7540
Hg 0.7793 0.9380 0.2540
F 0.1224 0.2114 0.4359
F 0.1224 0.2886 0.9359
F 0.2185 0.6946 0.4317
F 0.2185 0.8054 0.9317
F 0.3659 0.0499 0.2402
F 0.3659 0.4501 0.7402
F 0.6341 0.5499 0.2598
F 0.6341 0.9501 0.7598
F 0.7815 0.1946 0.0683
F 0.7815 0.3054 0.5683
F 0.8776 0.7114 0.0641
F 0.8776 0.7886 0.5641

Values from the calculation:
E_tot (eV per atom): -3.277
Symmetry: No. 14



4.
This record from Alexandria describes an optimized crystal structure of Li2CdHgF8. The functional is PBE-GGA.

Lattice parameters (Å, degrees): 4.7531 4.7846 7.1091 86.57 87.07 89.07
Atoms (fractional coordinates):
Li 0.0073 0.0032 0.2275
Li 0.9927 0.9968 0.7725
Cd 0.5000 0.5000 0.0000
Hg 0.5000 0.5000 0.5000
F 0.1815 0.8168 0.0003
F 0.1907 0.8076 0.4984
F 0.2900 0.2879 0.2403
F 0.2956 0.2957 0.7401
F 0.7044 0.7043 0.2599
F 0.7100 0.7121 0.7597
F 0.8093 0.1924 0.5016
F 0.8185 0.1832 0.9997

Values from the calculation:
E_tot (eV per atom): -3.542
Symmetry: No. 2



5.
This record from Alexandria describes an optimized crystal structure of MgCdHgF6. The functional is PBE-GGA.

Lattice parameters (Å, degrees): 5.0824 5.0824 10.3412 90.00 90.00 90.00
Atoms (fractional coordinates):
Mg 0.0000 0.0000 0.0000
Mg 0.5000 0.5000 0.5000
Cd 0.0000 0.0000 0.3356
Cd 0.5000 0.5000 0.8356
Hg 0.0000 0.0000 0.6665
Hg 0.5000 0.5000 0.1665
F 0.1802 0.1802 0.1526
F 0.1882 0.1882 0.8540
F 0.2175 0.2175 0.4955
F 0.2825 0.7175 0.9955
F 0.3118 0.6882 0.3540
F 0.3198 0.6802 0.6526
F 0.6802 0.3198 0.6526
F 0.6882 0.3118 0.3540
F 0.7175 0.2825 0.9955
F 0.7825 0.7825 0.4955
F 0.8118 0.8118 0.8540
F 0.8198 0.8198 0.1526

Values from the calculation:
E_tot (eV per atom): -3.932
Symmetry: No. 102



6.
This record from Alexandria describes an optimized crystal structure of CdHgNF2. The functional is PBE-GGA.

Lattice parameters (Å, degrees): 4.4001 4.4001 4.5723 90.00 90.00 90.00
Atoms (fractional coordinates):
Cd 0.0000 0.0000 0.0000
Hg 0.5000 0.5000 0.5000
N 0.0000 0.0000 0.5000
F 0.0000 0.5000 0.0000
F 0.5000 0.0000 0.0000

Values from the calculation:
E_tot (eV per atom): -2.876
Symmetry: No. 123
Energy above the lowest structure with this stoichiometry (meV per atom): 0



7.
This record from Alexandria describes an optimized crystal structure of CdHgN2F. The functional is PBE-GGA.

Lattice parameters (Å, degrees): 4.2025 4.2025 4.7030 90.00 90.00 90.00
Atoms (fractional coordinates):
Cd 0.0000 0.0000 0.0000
Hg 0.5000 0.5000 0.5000
N 0.0000 0.5000 0.5000
N 0.5000 0.0000 0.5000
F 0.5000 0.5000 0.0000

Values from the calculation:
E_tot (eV per atom): -2.757
Symmetry: No. 123
Energy above the lowest structure with this stoichiometry (meV per atom): 108



8.
This record from Alexandria describes an optimized crystal structure of CdHgN2F. The functional is PBE-GGA.

Lattice parameters (Å, degrees): 4.3958 4.3958 4.4709 90.00 90.00 90.00
Atoms (fractional coordinates):
Cd 0.0000 0.0000 0.0000
Hg 0.5000 0.5000 0.5000
N 0.0000 0.5000 0.0000
N 0.5000 0.0000 0.0000
F 0.0000 0.0000 0.5000

Values from the calculation:
E_tot (eV per atom): -2.865
Symmetry: No. 123
Energy above the lowest structure with this stoichiometry (meV per atom): 0



9.
This record from Alexandria describes an optimized crystal structure of CdHgNF2. The functional is PBE-GGA.

Lattice parameters (Å, degrees): 4.5967 4.5967 4.2185 90.00 90.00 90.00
Atoms (fractional coordinates):
Cd 0.0000 0.0000 0.0000
Hg 0.5000 0.5000 0.5000
N 0.5000 0.5000 0.0000
F 0.0000 0.5000 0.5000
F 0.5000 0.0000 0.5000

Values from the calculation:
E_tot (eV per atom): -2.641
Symmetry: No. 123
Energy above the lowest structure with this stoichiometry (meV per atom): 235



10.
This record from Alexandria describes an optimized crystal structure of Na2CdHgF. The functional is PBE-GGA.

Lattice parameters (Å, degrees): 4.5004 4.5004 5.6167 90.00 90.00 90.00
Atoms (fractional coordinates):
Na 0.0000 0.5000 0.0000
Na 0.5000 0.0000 0.0000
Cd 0.0000 0.0000 0.5000
Hg 0.5000 0.5000 0.5000
F 0.0000 0.0000 0.0000

Values from the calculation:
E_tot (eV per atom): -2.133
Symmetry: No. 123



11.
This record from Alexandria describes an optimized crystal structure of NaCdHg2F6. The functional is PBE-GGA.

Lattice parameters (Å, degrees): 5.9021 6.1358 10.4311 90.00 123.17 90.00
Atoms (fractional coordinates):
Na 0.0000 0.0000 0.0000
Na 0.0000 0.5000 0.5000
Cd 0.5000 0.0000 0.5000
Cd 0.5000 0.5000 0.0000
Hg 0.2168 0.0635 0.7451
Hg 0.2168 0.4365 0.2451
Hg 0.7832 0.5635 0.7549
Hg 0.7832 0.9365 0.2549
F 0.1265 0.1965 0.4283
F 0.1265 0.3035 0.9283
F 0.2182 0.7064 0.4135
F 0.2182 0.7936 0.9135
F 0.4021 0.0773 0.2561
F 0.4021 0.4227 0.7561
F 0.5979 0.5773 0.2439
F 0.5979 0.9227 0.7439
F 0.7818 0.2064 0.0865
F 0.7818 0.2936 0.5865
F 0.8735 0.6965 0.0717
F 0.8735 0.8035 0.5717

Values from the calculation:
E_tot (eV per atom): -3.201
Symmetry: No. 14



12.
This record from Alexandria describes an optimized crystal structure of Na2CdHgF8. The functional is PBE-GGA.

Lattice parameters (Å, degrees): 3.9594 5.5182 7.9625 83.93 88.62 83.99
Atoms (fractional coordinates):
Na 0.0016 0.0109 0.2381
Na 0.9984 0.9891 0.7619
Cd 0.5000 0.5000 0.0000
Hg 0.5000 0.5000 0.5000
F 0.0396 0.7368 0.0294
F 0.0651 0.7417 0.5216
F 0.4399 0.2713 0.7209
F 0.4572 0.2530 0.2252
F 0.5428 0.7470 0.7748
F 0.5601 0.7287 0.2791
F 0.9349 0.2583 0.4784
F 0.9604 0.2632 0.9706

Values from the calculation:
E_tot (eV per atom): -3.409
Symmetry: No. 2



13.
This record from Alexandria describes an optimized crystal structure of NaCdHg2F8. The functional is PBE-GGA.

Lattice parameters (Å, degrees): 6.7864 6.7864 6.7864 131.85 131.85 70.46
Atoms (fractional coordinates):
Na 0.0000 0.0000 0.0000
Cd 0.2500 0.7500 0.5000
Hg 0.5000 0.5000 0.0000
Hg 0.7500 0.2500 0.5000
F 0.1273 0.1246 0.5062
F 0.1273 0.6211 0.0028
F 0.3789 0.3817 0.5062
F 0.3789 0.8727 0.9972
F 0.6183 0.1246 0.9972
F 0.6183 0.6211 0.4938
F 0.8754 0.3817 0.0028
F 0.8754 0.8727 0.4938

Values from the calculation:
E_tot (eV per atom): -3.209
Symmetry: No. 119



14.
This record from Alexandria describes an optimized crystal structure of NaCd2HgF8. The functional is PBE-GGA.

Lattice parameters (Å, degrees): 4.2070 7.3331 5.5095 90.00 90.07 90.00
Atoms (fractional coordinates):
Na 0.0000 0.0000 0.0000
Cd 0.5000 0.2479 0.5000
Cd 0.5000 0.7521 0.5000
Hg 0.0000 0.5000 0.0000
F 0.0004 0.2661 0.2536
F 0.9996 0.2661 0.7464
F 0.0004 0.7339 0.2536
F 0.9996 0.7339 0.7464
F 0.5005 0.0000 0.2543
F 0.4995 0.0000 0.7457
F 0.5005 0.5000 0.2543
F 0.4995 0.5000 0.7457

Values from the calculation:
E_tot (eV per atom): -3.450
Symmetry: No. 10



15.
This record from Alexandria describes an optimized crystal structure of Cd2HgPF. The functional is PBE-GGA.

Lattice parameters (Å, degrees): 5.4533 5.4533 4.4581 90.00 90.00 90.00
Atoms (fractional coordinates):
Cd 0.0000 0.5000 0.0000
Cd 0.5000 0.0000 0.0000
Hg 0.0000 0.0000 0.0000
P 0.5000 0.5000 0.5000
F 0.0000 0.0000 0.5000

Values from the calculation:
E_tot (eV per atom): -1.607
Symmetry: No. 123



16.
This record from Alexandria describes an optimized crystal structure of CdHg2PbF8. The functional is PBE-GGA.

Lattice parameters (Å, degrees): 6.9685 6.9685 6.9685 131.86 131.86 70.44
Atoms (fractional coordinates):
Cd 0.0000 0.0000 0.0000
Hg 0.2500 0.7500 0.5000
Hg 0.5000 0.5000 0.0000
Pb 0.7500 0.2500 0.5000
F 0.1300 0.1206 0.4917
F 0.1300 0.6383 0.0093
F 0.3617 0.3710 0.4917
F 0.3617 0.8700 0.9907
F 0.6290 0.1206 0.9907
F 0.6290 0.6383 0.5083
F 0.8794 0.3710 0.0093
F 0.8794 0.8700 0.5083

Values from the calculation:
E_tot (eV per atom): -3.548
Symmetry: No. 119



17.
This record from Alexandria describes an optimized crystal structure of CdHgPbF6. The functional is PBE-GGA.

Lattice parameters (Å, degrees): 6.0548 6.0548 10.2061 90.00 90.00 120.00
Atoms (fractional coordinates):
Cd 0.3333 0.6667 0.2500
Cd 0.6667 0.3333 0.7500
Hg 0.3333 0.6667 0.7500
Hg 0.6667 0.3333 0.2500
Pb 0.0000 0.0000 0.0000
Pb 0.0000 0.0000 0.5000
F 0.0098 0.3467 0.1350
F 0.0098 0.6632 0.3650
F 0.3368 0.3467 0.3650
F 0.3368 0.9902 0.1350
F 0.3467 0.0098 0.6350
F 0.3467 0.3368 0.8650
F 0.6533 0.6632 0.1350
F 0.6533 0.9902 0.3650
F 0.6632 0.0098 0.8650
F 0.6632 0.6533 0.6350
F 0.9902 0.3368 0.6350
F 0.9902 0.6533 0.8650

Values from the calculation:
E_tot (eV per atom): -3.789
Symmetry: No. 163



18.
This record from Alexandria describes an optimized crystal structure of Rb2CdHg3F12. The functional is PBE-GGA.

Lattice parameters (Å, degrees): 8.1583 8.1583 8.1583 61.10 61.10 61.10
Atoms (fractional coordinates):
Rb 0.1761 0.1761 0.1761
Rb 0.8239 0.8239 0.8239
Cd 0.5000 0.5000 0.5000
Hg 0.0000 0.5000 0.5000
Hg 0.5000 0.0000 0.5000
Hg 0.5000 0.5000 0.0000
F 0.1748 0.5770 0.5770
F 0.1776 0.1776 0.5484
F 0.1776 0.5484 0.1776
F 0.4230 0.4230 0.8252
F 0.4230 0.8252 0.4230
F 0.4516 0.8224 0.8224
F 0.5484 0.1776 0.1776
F 0.5770 0.1748 0.5770
F 0.5770 0.5770 0.1748
F 0.8224 0.4516 0.8224
F 0.8224 0.8224 0.4516
F 0.8252 0.4230 0.4230

Values from the calculation:
E_tot (eV per atom): -3.186
Symmetry: No. 166



19.
This record from Alexandria describes an optimized crystal structure of RbCd2HgF8. The functional is PBE-GGA.

Lattice parameters (Å, degrees): 4.8936 7.3740 5.6678 90.00 93.05 90.00
Atoms (fractional coordinates):
Rb 0.0000 0.0000 0.0000
Cd 0.5000 0.2560 0.5000
Cd 0.5000 0.7440 0.5000
Hg 0.0000 0.5000 0.0000
F 0.1103 0.2971 0.2598
F 0.1103 0.7029 0.2598
F 0.3869 0.5000 0.7261
F 0.4420 0.0000 0.7200
F 0.5580 0.0000 0.2800
F 0.6131 0.5000 0.2739
F 0.8897 0.2971 0.7402
F 0.8897 0.7029 0.7402

Values from the calculation:
E_tot (eV per atom): -3.402
Symmetry: No. 10



20.
This record from Alexandria describes an optimized crystal structure of RbCdHg2F8. The functional is PBE-GGA.

Lattice parameters (Å, degrees): 4.2894 5.6848 8.6953 84.62 89.17 84.77
Atoms (fractional coordinates):
Rb 0.0000 0.0000 0.0000
Cd 0.0000 0.0000 0.5000
Hg 0.4955 0.4974 0.2814
Hg 0.5045 0.5026 0.7186
F 0.0642 0.7399 0.3172
F 0.0701 0.7510 0.7262
F 0.4370 0.2429 0.4806
F 0.4573 0.2911 0.9264
F 0.5427 0.7089 0.0736
F 0.5630 0.7571 0.5194
F 0.9299 0.2490 0.2738
F 0.9358 0.2601 0.6828

Values from the calculation:
E_tot (eV per atom): -3.190
Symmetry: No. 2